## w
Rb4CO4: relaxed, GGA-PBE.

Computed properties:
For the total magnetization, the calculation gives 0.14 μB/cell. The value obtained for the density is 3.7 g/cm3.

a = 6.0592 Å, b = 6.0592 Å, c = 6.4329 Å
α = 67.64°, β = 67.64°, γ = 61.55°
Sites, in units of the cell vectors:
1 Rb 0.6072 0.0497 0.5462
2 Rb 0.4420 0.8192 0.1392
3 Rb 0.1808 0.5580 0.8608
4 Rb 0.9503 0.3928 0.4538
5 C 0.8915 0.1085 0.0000
6 O 0.9194 0.8636 0.1712
7 O 0.6958 0.1749 0.8896
8 O 0.8251 0.3042 0.1104
9 O 0.1364 0.0806 0.8288



## x
Rb4CO4: relaxed, GGA-PBE.

Computed properties:
For the total magnetization, the calculation gives 0.15 μB/cell. The value obtained for the density is 3.1 g/cm3.

a = 5.8435 Å, b = 5.8435 Å, c = 7.1065 Å
α = 73.64°, β = 73.64°, γ = 88.39°
Sites, in units of the cell vectors:
1 Rb 0.0277 0.5547 0.1111
2 Rb 0.5547 0.0277 0.1111
3 Rb 0.4269 0.9434 0.6255
4 Rb 0.9434 0.4269 0.6255
5 C 0.0176 0.0176 0.4115
6 O 0.1150 0.8287 0.3297
7 O 0.8287 0.1150 0.3297
8 O 0.9255 0.9255 0.6349
9 O 0.2019 0.2019 0.3595



Winner for stability: w